#i
Density functional theory data (PBE-GGA) for a relaxed Ac2CeIn crystal.

abc: 5.2726 5.2726 5.0224
angles: 90.00 90.00 90.00
With the nearest neighbours (Å) after each atom.
Fractional positions:
Ac (0.0000, 0.5000, 0.0000)  4 In 3.64, 4 Ce 3.64, 4 Ac 3.73
Ac (0.5000, 0.0000, 0.0000)  4 In 3.64, 4 Ce 3.64, 4 Ac 3.73
Ce (0.0000, 0.0000, 0.5000)  8 Ac 3.64, 4 In 3.73
In (0.5000, 0.5000, 0.5000)  8 Ac 3.64, 4 Ce 3.73

Output
V (Å³/cell): 139.6
Space-group type: P4/mmm
Crystal system: tetragonal
ρ (g/cm3): 8.43
Fermi-level density of states (states/eV/cell): 10.01

#ii
Density functional theory data (PBE-GGA) for a relaxed Ac2CeIn crystal.

abc: 8.2760 8.2760 8.2760
angles: 90.00 90.00 90.00
With the nearest neighbours (Å) after each atom.
Fractional positions:
Ac (0.2500, 0.2500, 0.2500)  4 In 3.58, 4 Ce 3.58
Ac (0.2500, 0.2500, 0.7500)  4 In 3.58, 4 Ce 3.58
Ac (0.2500, 0.7500, 0.2500)  4 In 3.58, 4 Ce 3.58
Ac (0.2500, 0.7500, 0.7500)  4 In 3.58, 4 Ce 3.58
Ac (0.7500, 0.2500, 0.2500)  4 In 3.58, 4 Ce 3.58
Ac (0.7500, 0.2500, 0.7500)  4 In 3.58, 4 Ce 3.58
Ac (0.7500, 0.7500, 0.2500)  4 In 3.58, 4 Ce 3.58
Ac (0.7500, 0.7500, 0.7500)  4 In 3.58, 4 Ce 3.58
Ce (0.0000, 0.0000, 0.0000)  8 Ac 3.58
Ce (0.0000, 0.5000, 0.5000)  8 Ac 3.58
Ce (0.5000, 0.0000, 0.5000)  8 Ac 3.58
Ce (0.5000, 0.5000, 0.0000)  8 Ac 3.58
In (0.0000, 0.0000, 0.5000)  8 Ac 3.58
In (0.0000, 0.5000, 0.0000)  8 Ac 3.58
In (0.5000, 0.0000, 0.0000)  8 Ac 3.58
In (0.5000, 0.5000, 0.5000)  8 Ac 3.58

Output
V (Å³/cell): 566.8
Space-group type: Fm-3m
Crystal system: cubic
ρ (g/cm3): 8.31
Fermi-level density of states (states/eV/cell): 39.29

It is #i that is most stable; the runner-up trails by 12.1 kJ/mol of atoms.

#i
Density functional theory data (PBE-GGA) for a relaxed Ac2CeIn crystal.

abc: 3.8907 3.8907 9.6432
angles: 90.00 90.00 90.00
With the nearest neighbours (Å) after each atom.
Fractional positions:
Ac (0.0000, 0.0000, 0.2311)  4 In 3.54, 4 Ce 3.78, 4 Ac 3.89
Ac (0.0000, 0.0000, 0.7689)  4 In 3.54, 4 Ce 3.78, 4 Ac 3.89
Ce (0.5000, 0.5000, 0.5000)  8 Ac 3.78, 4 Ce 3.89
In (0.5000, 0.5000, 0.0000)  8 Ac 3.54, 4 In 3.89

Output
V (Å³/cell): 146.0
Space-group type: P4/mmm
Crystal system: tetragonal
ρ (g/cm3): 8.06
Fermi-level density of states (states/eV/cell): 8.01

#ii
Density functional theory data (PBE-GGA) for a relaxed Ac2CeIn crystal.

abc: 3.7156 3.7156 37.9080
angles: 90.00 90.00 120.00
With the nearest neighbours (Å) after each atom.
Fractional positions:
Ac (0.0000, 0.0000, 0.0938)  3 In 3.50, 1 Ce 3.56, 6 Ac 3.72
Ac (0.0000, 0.0000, 0.9062)  3 In 3.50, 1 Ce 3.56, 6 Ac 3.72
Ac (0.3333, 0.6667, 0.5729)  3 In 3.50, 1 Ce 3.56, 6 Ac 3.72
Ac (0.3333, 0.6667, 0.7605)  3 In 3.50, 1 Ce 3.56, 6 Ac 3.72
Ac (0.6667, 0.3333, 0.2395)  3 In 3.50, 1 Ce 3.56, 6 Ac 3.72
Ac (0.6667, 0.3333, 0.4271)  3 In 3.50, 1 Ce 3.56, 6 Ac 3.72
Ce (0.0000, 0.0000, 0.0000)  2 Ac 3.56, 6 Ce 3.72
Ce (0.3333, 0.6667, 0.6667)  2 Ac 3.56, 6 Ce 3.72
Ce (0.6667, 0.3333, 0.3333)  2 Ac 3.56, 6 Ce 3.72
In (0.0000, 0.0000, 0.5000)  6 Ac 3.50, 6 In 3.72
In (0.3333, 0.6667, 0.1667)  6 Ac 3.50, 6 In 3.72
In (0.6667, 0.3333, 0.8333)  6 Ac 3.50, 6 In 3.72

Output
V (Å³/cell): 453.2
Space-group type: R-3m
Crystal system: trigonal
ρ (g/cm3): 7.79
Fermi-level density of states (states/eV/cell): 29.27

It is #i that is most stable; the runner-up trails by 26.0 kJ/mol of atoms.

#i
Density functional theory data (PBE-GGA) for a relaxed AcCeIr2 crystal.

abc: 3.5818 3.5818 7.2998
angles: 90.00 90.00 90.00
With the nearest neighbours (Å) after each atom.
Fractional positions:
Ac (0.0000, 0.0000, 0.0000)  8 Ir 3.30, 4 Ac 3.58, 2 Ce 3.65
Ce (0.0000, 0.0000, 0.5000)  8 Ir 2.96
Ir (0.5000, 0.5000, 0.2895)  4 Ce 2.96, 1 Ir 3.07, 4 Ac 3.30
Ir (0.5000, 0.5000, 0.7105)  4 Ce 2.96, 1 Ir 3.07, 4 Ac 3.30

Output
V (Å³/cell): 93.7
Space-group type: P4/mmm
Crystal system: tetragonal
ρ (g/cm3): 13.33
Fermi-level density of states (states/eV/cell): 2.91

#ii
Density functional theory data (PBE-GGA) for a relaxed AcCeIr2 crystal.

abc: 7.2131 7.2131 7.2131
angles: 90.00 90.00 90.00
With the nearest neighbours (Å) after each atom.
Fractional positions:
Ac (0.0000, 0.0000, 0.0000)  8 Ir 3.12
Ac (0.0000, 0.5000, 0.5000)  8 Ir 3.12
Ac (0.5000, 0.0000, 0.5000)  8 Ir 3.12
Ac (0.5000, 0.5000, 0.0000)  8 Ir 3.12
Ce (0.0000, 0.0000, 0.5000)  8 Ir 3.12
Ce (0.0000, 0.5000, 0.0000)  8 Ir 3.12
Ce (0.5000, 0.0000, 0.0000)  8 Ir 3.12
Ce (0.5000, 0.5000, 0.5000)  8 Ir 3.12
Ir (0.2500, 0.2500, 0.2500)  4 Ac 3.12, 4 Ce 3.12
Ir (0.2500, 0.2500, 0.7500)  4 Ac 3.12, 4 Ce 3.12
Ir (0.2500, 0.7500, 0.2500)  4 Ac 3.12, 4 Ce 3.12
Ir (0.2500, 0.7500, 0.7500)  4 Ac 3.12, 4 Ce 3.12
Ir (0.7500, 0.2500, 0.2500)  4 Ac 3.12, 4 Ce 3.12
Ir (0.7500, 0.2500, 0.7500)  4 Ac 3.12, 4 Ce 3.12
Ir (0.7500, 0.7500, 0.2500)  4 Ac 3.12, 4 Ce 3.12
Ir (0.7500, 0.7500, 0.7500)  4 Ac 3.12, 4 Ce 3.12

Output
V (Å³/cell): 375.3
Space-group type: Fm-3m
Crystal system: cubic
ρ (g/cm3): 13.30
Fermi-level density of states (states/eV/cell): 17.37

It is #i that is most stable; the runner-up trails by 7.8 kJ/mol of atoms.

#i
Density functional theory data (PBE-GGA) for a relaxed AcCeIr2 crystal.

abc: 4.0731 4.0731 21.6654
angles: 90.00 90.00 120.00
With the nearest neighbours (Å) after each atom.
Fractional positions:
Ac (0.0000, 0.0000, 0.0000)  6 Ir 3.04-3.13
Ac (0.3333, 0.6667, 0.6667)  6 Ir 3.04-3.13
Ac (0.6667, 0.3333, 0.3333)  6 Ir 3.04-3.13
Ce (0.0000, 0.0000, 0.1715)  6 Ir 2.83-2.88
Ce (0.3333, 0.6667, 0.8382)  6 Ir 2.83-2.88
Ce (0.6667, 0.3333, 0.5048)  6 Ir 2.83-2.88
Ir (0.0000, 0.0000, 0.5776)  3 Ce 2.83, 3 Ac 3.04
Ir (0.0000, 0.0000, 0.7617)  3 Ce 2.88, 3 Ac 3.13
Ir (0.3333, 0.6667, 0.2442)  3 Ce 2.83, 3 Ac 3.04
Ir (0.3333, 0.6667, 0.4284)  3 Ce 2.88, 3 Ac 3.13
Ir (0.6667, 0.3333, 0.0951)  3 Ce 2.88, 3 Ac 3.13
Ir (0.6667, 0.3333, 0.9109)  3 Ce 2.83, 3 Ac 3.04

Output
V (Å³/cell): 311.3
Space-group type: R3m
Crystal system: trigonal
ρ (g/cm3): 12.03
Fermi-level density of states (states/eV/cell): 11.61

#ii
Density functional theory data (PBE-GGA) for a relaxed AcCeIr2 crystal.

abc: 8.5656 5.9753 7.6126
angles: 90.00 90.41 90.00
With the nearest neighbours (Å) after each atom.
Fractional positions:
Ac (0.1281, 0.1476, 0.3216)  7 Ir 3.06-3.36
Ac (0.1281, 0.3524, 0.8216)  7 Ir 3.06-3.36
Ac (0.8719, 0.6476, 0.1784)  7 Ir 3.06-3.36
Ac (0.8719, 0.8524, 0.6784)  7 Ir 3.06-3.36
Ce (0.3803, 0.6545, 0.1772)  5 Ir 2.78-3.03
Ce (0.3803, 0.8455, 0.6772)  5 Ir 2.78-3.03
Ce (0.6197, 0.1545, 0.3228)  5 Ir 2.78-3.03
Ce (0.6197, 0.3455, 0.8228)  5 Ir 2.78-3.03
Ir (0.1515, 0.6535, 0.4504)  2 Ce 2.84-2.87, 1 Ir 2.96, 3 Ac 3.12-3.18
Ir (0.1515, 0.8465, 0.9504)  2 Ce 2.84-2.87, 1 Ir 2.96, 3 Ac 3.12-3.18
Ir (0.3947, 0.1707, 0.0578)  3 Ce 2.78-3.03, 2 Ir 2.87-2.96, 2 Ac 3.06-3.09
Ir (0.3947, 0.3293, 0.5578)  3 Ce 2.78-3.03, 2 Ir 2.87-2.96, 2 Ac 3.06-3.09
Ir (0.6053, 0.6707, 0.4422)  3 Ce 2.78-3.03, 2 Ir 2.87-2.96, 2 Ac 3.06-3.09
Ir (0.6053, 0.8293, 0.9422)  3 Ce 2.78-3.03, 2 Ir 2.87-2.96, 2 Ac 3.06-3.09
Ir (0.8485, 0.1535, 0.0496)  2 Ce 2.84-2.87, 1 Ir 2.96, 3 Ac 3.12-3.18
Ir (0.8485, 0.3465, 0.5496)  2 Ce 2.84-2.87, 1 Ir 2.96, 3 Ac 3.12-3.18

Output
V (Å³/cell): 389.6
Space-group type: P2_1/c
Crystal system: monoclinic
ρ (g/cm3): 12.81
Fermi-level density of states (states/eV/cell): 12.99

#iii
Density functional theory data (PBE-GGA) for a relaxed AcCeIr2 crystal.

abc: 4.2210 4.2210 20.0196
angles: 90.00 90.00 120.00
With the nearest neighbours (Å) after each atom.
Fractional positions:
Ac (0.0000, 0.0000, 0.0000)  6 Ir 3.09
Ac (0.3333, 0.6667, 0.6667)  6 Ir 3.09
Ac (0.6667, 0.3333, 0.3333)  6 Ir 3.09
Ce (0.0000, 0.0000, 0.5000)  6 Ir 2.83
Ce (0.3333, 0.6667, 0.1667)  6 Ir 2.83
Ce (0.6667, 0.3333, 0.8333)  6 Ir 2.83
Ir (0.0000, 0.0000, 0.2384)  3 Ce 2.83, 3 Ac 3.09
Ir (0.0000, 0.0000, 0.7616)  3 Ce 2.83, 3 Ac 3.09
Ir (0.3333, 0.6667, 0.4282)  3 Ce 2.83, 3 Ac 3.09
Ir (0.3333, 0.6667, 0.9051)  3 Ce 2.83, 3 Ac 3.09
Ir (0.6667, 0.3333, 0.0949)  3 Ce 2.83, 3 Ac 3.09
Ir (0.6667, 0.3333, 0.5718)  3 Ce 2.83, 3 Ac 3.09

Output
V (Å³/cell): 308.9
Space-group type: R-3m
Crystal system: trigonal
ρ (g/cm3): 12.12
Fermi-level density of states (states/eV/cell): 8.07

It is #ii that is most stable; the runner-up trails by 7.8 kJ/mol of atoms.